Record 1
Computed, not measured: crystalline ScTiRe2Pb at its relaxed geometry at the PBE-GGA level of DFT.

* electronic total energy: -6.316 eV per atom
* theoretical density: 9.0 g cm⁻³
* formation energy from the elements: 1085 kJ/mol of formula units

a = 4.969 Å, b = 4.969 Å, c = 5.019 Å
α = 90.00°, β = 90.00°, γ = 90.00°
Space group P4/mmm (No. 123)
Asymmetric unit:
Sc  0.000  0.000  0.000 x1
Ti  0.500  0.500  0.000 x1
Re  0.000  0.500  0.500 x2
Pb  0.000  0.000  0.500 x1

Record 2
Computed, not measured: crystalline Re2PbSe at its relaxed geometry at the PBE-GGA level of DFT.

* electronic total energy: -6.921 eV per atom
* theoretical density: 15.2 g cm⁻³
* relative energy among the computed polymorphs: 0.7790 eV/atom

a = 4.275 Å, b = 4.275 Å, c = 7.856 Å
α = 90.00°, β = 90.00°, γ = 90.00°
Space group I-4m2 (No. 119)
Asymmetric unit:
Re  0.000  0.000  0.000 x2
Re  0.000  0.500  0.250 x2
Pb  0.000  0.000  0.500 x2
Se  0.000  0.500  0.750 x2

Record 3
Computed, not measured: crystalline RePbSe at its relaxed geometry at the PBE-GGA level of DFT.

* electronic total energy: -5.691 eV per atom
* theoretical density: 11.7 g cm⁻³
* relative energy among the computed polymorphs: 0.6280 eV/atom

a = 6.444 Å, b = 6.444 Å, c = 6.444 Å
α = 90.00°, β = 90.00°, γ = 90.00°
Space group F-43m (No. 216)
Asymmetric unit:
Re  0.000  0.000  0.000 x4
Pb  0.250  0.250  0.250 x4
Se  0.250  0.250  0.750 x4

Record 4
Computed, not measured: crystalline RePbSe2 at its relaxed geometry at the PBE-GGA level of DFT.

* electronic total energy: -5.480 eV per atom
* theoretical density: 9.8 g cm⁻³

a = 3.053 Å, b = 3.216 Å, c = 9.480 Å
α = 90.00°, β = 90.32°, γ = 90.00°
Space group P2/m (No. 10)
Asymmetric unit:
Re  0.000  0.000  0.000 x1
Pb  0.500  0.000  0.500 x1
Se  0.004  0.500  0.197 x2

Q: electronic total energy of number 2 (Re2PbSe)?
A: -6.921 eV per atom

Q: Which formula does entry 4 have?
A: RePbSe2

Repeat the first record exactly.
Computed, not measured: crystalline ScTiRe2Pb at its relaxed geometry at the PBE-GGA level of DFT.

* electronic total energy: -6.316 eV per atom
* theoretical density: 9.0 g cm⁻³
* formation energy from the elements: 1085 kJ/mol of formula units

a = 4.969 Å, b = 4.969 Å, c = 5.019 Å
α = 90.00°, β = 90.00°, γ = 90.00°
Space group P4/mmm (No. 123)
Asymmetric unit:
Sc  0.000  0.000  0.000 x1
Ti  0.500  0.500  0.000 x1
Re  0.000  0.500  0.500 x2
Pb  0.000  0.000  0.500 x1

What did the fourth record say?
Computed, not measured: crystalline RePbSe2 at its relaxed geometry at the PBE-GGA level of DFT.

* electronic total energy: -5.480 eV per atom
* theoretical density: 9.8 g cm⁻³

a = 3.053 Å, b = 3.216 Å, c = 9.480 Å
α = 90.00°, β = 90.32°, γ = 90.00°
Space group P2/m (No. 10)
Asymmetric unit:
Re  0.000  0.000  0.000 x1
Pb  0.500  0.000  0.500 x1
Se  0.004  0.500  0.197 x2